No. 1
Density functional theory data (GGA-PBE) for a relaxed structure of Sr2LaBr.

Unit cell a=3.963 b=3.963 c=11.524 alpha=90.00 beta=90.00 gamma=115.55
Fractional positions:
Sr (0.000, 0.000, 0.990)
Sr (0.500, 0.500, 0.292)
La (0.500, 0.500, 0.715)
Br (0.000, 0.000, 0.503)

Computed properties:
DOS(E_F) = 1.945 states/eV per cell
Calculated total energy = -3.056 eV/atom
Raw formation energy = -0.565 eV per atom


No. 2
Density functional theory data (GGA-PBE) for a relaxed structure of TaTl4Se5.

Unit cell a=6.469 b=7.597 c=7.597 alpha=79.56 beta=64.80 gamma=64.80
Fractional positions:
Ta (0.086, 0.000, 0.000)
Se (0.909, 0.333, 0.853)
Se (0.096, 0.667, 0.147)
Se (0.460, 0.000, 0.000)
Se (0.243, 0.853, 0.667)
Se (0.762, 0.147, 0.333)
Tl (0.800, 0.787, 0.591)
Tl (0.178, 0.213, 0.409)
Tl (0.587, 0.591, 0.213)
Tl (0.390, 0.409, 0.787)

Computed properties:
DOS(E_F) = 6.571 states/eV per cell
Calculated total energy = -4.363 eV/atom
Raw formation energy = -0.489 eV per atom


No. 3
Density functional theory data (GGA-PBE) for a relaxed structure of Ac2Tl5Pd3.

Unit cell a=4.680 b=7.905 c=14.158 alpha=90.00 beta=99.51 gamma=90.00
Fractional positions:
Ac (0.177, 0.697, 0.354)
Ac (0.474, 0.788, 0.948)
Ac (0.823, 0.197, 0.646)
Ac (0.526, 0.288, 0.052)
Tl (0.295, 0.893, 0.590)
Tl (0.708, 0.995, 0.417)
Tl (0.873, 0.746, 0.747)
Tl (0.053, 0.621, 0.107)
Tl (0.705, 0.393, 0.410)
Tl (0.127, 0.246, 0.253)
Tl (0.597, 0.905, 0.194)
Tl (0.403, 0.405, 0.806)
Tl (0.947, 0.121, 0.893)
Tl (0.292, 0.495, 0.583)
Pd (0.043, 0.001, 0.087)
Pd (0.231, 0.190, 0.462)
Pd (0.390, 0.029, 0.780)
Pd (0.769, 0.690, 0.538)
Pd (0.957, 0.501, 0.913)
Pd (0.610, 0.529, 0.220)

Computed properties:
DOS(E_F) = 10.657 states/eV per cell
DFT formation energy = -439 meV per atom
Calculated total energy = -4.002 eV/atom


No. 4
Density functional theory data (GGA-PBE) for a relaxed structure of BeZnCl2.

Unit cell a=3.770 b=3.770 c=8.644 alpha=90.00 beta=90.00 gamma=130.97
Fractional positions:
Be (0.500, 0.500, 0.754)
Zn (0.000, 0.000, 0.519)
Cl (0.500, 0.500, 0.320)
Cl (0.000, 0.000, 0.907)

Computed properties:
ΔE to the lowest computed polymorph = 210 meV per atom
DOS(E_F) = 0.652 states/eV per cell
Calculated total energy = -2.624 eV/atom
Raw formation energy = -0.450 eV per atom


No. 5
Density functional theory data (GGA-PBE) for a relaxed structure of Ta2Nb2Br7.

Unit cell a=8.616 b=8.616 c=21.712 alpha=91.74 beta=91.74 gamma=157.20
Site moments in Bohr magnetons follow the coordinates.
Fractional positions:
Br (0.532, 0.655, 0.602)  0.01
Br (0.970, 0.030, 0.250)  0.01
Br (0.388, 0.893, 0.142)  0.00
Br (0.612, 0.107, 0.858)  0.00
Br (0.655, 0.532, 0.102)  0.01
Br (0.107, 0.612, 0.358)  0.00
Br (0.468, 0.345, 0.398)  0.01
Br (0.169, 0.896, 0.531)  0.00
Br (0.104, 0.831, 0.969)  0.00
Br (0.345, 0.468, 0.898)  0.01
Br (0.831, 0.104, 0.469)  0.00
Br (0.893, 0.388, 0.642)  0.00
Br (0.896, 0.169, 0.031)  0.00
Br (0.030, 0.970, 0.750)  0.01
Ta (0.065, 0.283, 0.702)  0.20
Ta (0.935, 0.717, 0.298)  0.20
Ta (0.283, 0.065, 0.202)  0.20
Ta (0.717, 0.935, 0.798)  0.20
Nb (0.330, 0.750, 0.544)  -0.02
Nb (0.670, 0.250, 0.456)  -0.02
Nb (0.750, 0.330, 0.044)  -0.02
Nb (0.250, 0.670, 0.956)  -0.02

Computed properties:
DOS(E_F) = 6.841 states/eV per cell
Calculated total energy = -5.524 eV/atom
Raw formation energy = -0.474 eV per atom


No. 6
Density functional theory data (GGA-PBE) for a relaxed structure of PtSe2Cl.

Unit cell a=7.026 b=7.026 c=7.026 alpha=151.66 beta=137.29 gamma=52.06
Fractional positions:
Se (0.304, 0.804, 0.500)
Se (0.866, 0.866, 0.000)
Pt (0.733, 0.233, 0.500)
Cl (0.597, 0.597, 0.000)

Computed properties:
ΔE to the lowest computed polymorph = 288 meV per atom
DOS(E_F) = 1.721 states/eV per cell
Calculated total energy = -3.771 eV/atom
Raw formation energy = -0.057 eV per atom


No. 7
Density functional theory data (GGA-PBE) for a relaxed structure of La8GeIr3I3.

Unit cell a=8.650 b=8.653 c=9.375 alpha=117.48 beta=89.98 gamma=120.00
Fractional positions:
Ir (0.000, 0.500, 0.500)
Ir (0.500, 0.000, 0.500)
Ir (0.500, 0.500, 0.500)
La (0.761, 0.046, 0.306)
La (0.715, 0.955, 0.694)
La (0.285, 0.045, 0.306)
La (0.731, 0.462, 0.693)
La (0.239, 0.479, 0.694)
La (0.761, 0.521, 0.306)
La (0.239, 0.954, 0.694)
La (0.269, 0.538, 0.307)
Ge (0.000, 0.000, 0.500)
I (0.000, 0.000, 0.000)
I (0.000, 0.500, 0.000)
I (0.500, 0.500, 0.000)

Computed properties:
DOS(E_F) = 13.585 states/eV per cell
Calculated total energy = -5.954 eV/atom
Raw formation energy = -0.936 eV per atom


No. 8
Density functional theory data (GGA-PBE) for a relaxed structure of Nd12In5Hg2.

Unit cell a=7.483 b=9.617 c=9.360 alpha=83.73 beta=90.00 gamma=112.90
Fractional positions:
Nd (0.959, 0.917, 0.193)
Nd (0.405, 0.329, 0.076)
Nd (0.505, 0.009, 0.310)
Nd (0.097, 0.696, 0.504)
Nd (0.041, 0.083, 0.807)
Nd (0.903, 0.304, 0.496)
Nd (0.495, 0.991, 0.690)
Nd (0.599, 0.696, 0.504)
Nd (0.076, 0.671, 0.924)
Nd (0.924, 0.329, 0.076)
Nd (0.595, 0.671, 0.924)
Nd (0.401, 0.304, 0.496)
In (0.771, 0.542, 0.250)
In (0.699, 0.398, 0.764)
In (0.229, 0.458, 0.750)
In (0.000, 0.000, 0.500)
In (0.301, 0.602, 0.236)
Hg (0.683, 0.000, 0.000)
Hg (0.317, 0.000, 0.000)

Computed properties:
DOS(E_F) = 20.003 states/eV per cell
DFT formation energy = -209 meV per atom
Calculated total energy = -3.973 eV/atom


No. 9
Density functional theory data (GGA-PBE) for a relaxed structure of TmZnPb2.

Unit cell a=4.438 b=4.749 c=4.749 alpha=90.00 beta=90.00 gamma=90.00
Fractional positions:
Pb (0.000, 0.500, 0.000)
Pb (0.000, 0.000, 0.500)
Zn (0.500, 0.000, 0.000)
Tm (0.500, 0.500, 0.500)

Computed properties:
ΔE to the lowest computed polymorph = 0 meV per atom
DOS(E_F) = 1.931 states/eV per cell
DFT formation energy = -203 meV per atom
Calculated total energy = -3.494 eV/atom


No. 10
Density functional theory data (GGA-PBE) for a relaxed structure of Pr3GaO5.

Unit cell a=6.536 b=6.536 c=7.724 alpha=115.03 beta=115.03 gamma=90.00
Fractional positions:
O (0.500, 0.500, 0.000)
O (0.000, 0.000, 0.000)
O (0.998, 0.498, 0.316)
O (0.682, 0.182, 0.684)
O (0.002, 0.502, 0.684)
O (0.318, 0.818, 0.316)
O (0.502, 0.682, 0.684)
O (0.182, 0.002, 0.684)
O (0.498, 0.318, 0.316)
O (0.818, 0.998, 0.316)
Pr (0.172, 0.328, 0.000)
Pr (0.750, 0.750, 0.500)
Pr (0.828, 0.672, 0.000)
Pr (0.672, 0.172, 0.000)
Pr (0.250, 0.250, 0.500)
Pr (0.328, 0.828, 0.000)
Ga (0.750, 0.250, 0.500)
Ga (0.250, 0.750, 0.500)

Computed properties:
DOS(E_F) = 4.014 states/eV per cell
Calculated total energy = -7.151 eV/atom
Raw formation energy = -2.467 eV per atom


No. 11
Density functional theory data (GGA-PBE) for a relaxed structure of RbTe2Pd.

Unit cell a=4.086 b=6.790 c=5.895 alpha=125.16 beta=90.01 gamma=90.00
Fractional positions:
Pd (0.500, 0.000, 0.000)
Te (0.000, 0.176, 0.351)
Te (0.000, 0.824, 0.649)
Rb (0.500, 0.500, 0.000)

Computed properties:
DOS(E_F) = 1.304 states/eV per cell
Calculated total energy = -3.658 eV/atom
Raw formation energy = -0.547 eV per atom


No. 12
Density functional theory data (GGA-PBE) for a relaxed structure of SrPm2Pb9.

Unit cell a=4.969 b=4.969 c=14.778 alpha=90.00 beta=90.00 gamma=90.00
Fractional positions:
Pb (0.000, 0.500, 0.829)
Pb (0.500, 0.000, 0.500)
Pb (0.500, 0.500, 0.000)
Pb (0.500, 0.000, 0.171)
Pb (0.000, 0.500, 0.500)
Pb (0.000, 0.500, 0.171)
Pb (0.500, 0.500, 0.665)
Pb (0.500, 0.000, 0.829)
Pb (0.500, 0.500, 0.335)
Pm (0.000, 0.000, 0.339)
Pm (0.000, 0.000, 0.661)
Sr (0.000, 0.000, 0.000)

Computed properties:
DOS(E_F) = 5.447 states/eV per cell
DFT formation energy = -361 meV per atom
Calculated total energy = -4.074 eV/atom


No. 13
Density functional theory data (GGA-PBE) for a relaxed structure of TlInAg2.

Unit cell a=5.501 b=5.501 c=5.501 alpha=132.57 beta=132.57 gamma=69.33
Fractional positions:
Ag (0.250, 0.750, 0.500)
Ag (0.000, 0.000, 0.000)
In (0.500, 0.500, 0.000)
Tl (0.750, 0.250, 0.500)

Computed properties:
DOS(E_F) = 0.839 states/eV per cell
DFT formation energy = 106 meV per atom
Calculated total energy = -2.596 eV/atom


No. 14
Density functional theory data (GGA-PBE) for a relaxed structure of Sb5Se3.

Unit cell a=11.709 b=8.439 c=8.782 alpha=90.49 beta=109.06 gamma=135.05
Fractional positions:
Se (0.712, 0.727, 0.992)
Se (0.819, 0.785, 0.500)
Se (0.349, 0.810, 0.009)
Se (0.840, 0.301, 0.991)
Se (0.342, 0.313, 0.500)
Se (0.221, 0.235, 0.008)
Sb (0.892, 0.646, 0.744)
Sb (0.292, 0.565, 0.749)
Sb (0.043, 0.317, 0.251)
Sb (0.805, 0.299, 0.500)
Sb (0.154, 0.683, 0.500)
Sb (0.654, 0.893, 0.761)
Sb (0.648, 0.402, 0.256)
Sb (0.548, 0.331, 0.768)
Sb (0.394, 0.632, 0.239)
Sb (0.280, 0.063, 0.232)

Computed properties:
ΔE to the lowest computed polymorph = 0 meV per atom
DOS(E_F) = 0.564 states/eV per cell
Calculated total energy = -3.928 eV/atom
Raw formation energy = -0.045 eV per atom


No. 15
Density functional theory data (GGA-PBE) for a relaxed structure of Cs5DyO4.

Unit cell a=7.017 b=10.003 c=8.532 alpha=90.00 beta=90.00 gamma=90.00
Fractional positions:
Cs (0.744, 0.814, 0.761)
Cs (0.744, 0.814, 0.239)
Cs (0.174, 0.000, 0.500)
Cs (0.256, 0.686, 0.261)
Cs (0.744, 0.186, 0.239)
Cs (0.256, 0.686, 0.739)
Cs (0.256, 0.314, 0.739)
Cs (0.256, 0.314, 0.261)
Cs (0.826, 0.500, 0.000)
Cs (0.744, 0.186, 0.761)
O (0.384, 0.000, 0.784)
O (0.049, 0.816, 0.000)
O (0.951, 0.684, 0.500)
O (0.616, 0.500, 0.284)
O (0.951, 0.316, 0.500)
O (0.384, 0.000, 0.216)
O (0.049, 0.184, 0.000)
O (0.616, 0.500, 0.716)
Dy (0.218, 0.000, 0.000)
Dy (0.782, 0.500, 0.500)

Computed properties:
ΔE to the lowest computed polymorph = 0 meV per atom
DOS(E_F) = 0.000 states/eV per cell
Calculated total energy = -4.500 eV/atom
Raw formation energy = -1.630 eV per atom


No. 16
Density functional theory data (GGA-PBE) for a relaxed structure of Zr2TiAl2Ru5.

Unit cell a=3.262 b=9.852 c=9.852 alpha=90.00 beta=90.00 gamma=90.00
Fractional positions:
Ru (0.500, 0.066, 0.801)
Ru (0.500, 0.566, 0.699)
Ru (0.500, 0.699, 0.434)
Ru (0.500, 0.434, 0.301)
Ru (0.500, 0.301, 0.566)
Ru (0.500, 0.801, 0.934)
Ru (0.500, 0.500, 0.000)
Ru (0.500, 0.199, 0.066)
Ru (0.500, 0.000, 0.500)
Ru (0.500, 0.934, 0.199)
Al (0.000, 0.128, 0.628)
Al (0.000, 0.872, 0.372)
Al (0.000, 0.372, 0.128)
Al (0.000, 0.628, 0.872)
Zr (0.000, 0.172, 0.328)
Zr (0.000, 0.328, 0.828)
Zr (0.000, 0.828, 0.672)
Zr (0.000, 0.672, 0.172)
Ti (0.000, 0.500, 0.500)
Ti (0.000, 0.000, 0.000)

Computed properties:
DOS(E_F) = 14.045 states/eV per cell
DFT formation energy = -518 meV per atom
Calculated total energy = -8.404 eV/atom


No. 17
Density functional theory data (GGA-PBE) for a relaxed structure of Np2GaIrRh5.

Unit cell a=7.684 b=7.684 c=7.614 alpha=120.31 beta=120.31 gamma=90.00
Fractional positions:
Ga (0.250, 0.250, 0.500)
Ga (0.750, 0.750, 0.500)
Rh (0.500, 0.500, 0.000)
Rh (0.649, 0.149, 0.732)
Rh (0.917, 0.417, 0.268)
Rh (0.851, 0.917, 0.268)
Rh (0.149, 0.083, 0.732)
Rh (0.083, 0.583, 0.732)
Rh (0.417, 0.351, 0.268)
Rh (0.351, 0.851, 0.268)
Rh (0.583, 0.649, 0.732)
Rh (0.000, 0.000, 0.000)
Np (0.391, 0.891, 0.000)
Np (0.109, 0.391, 0.000)
Np (0.891, 0.609, 0.000)
Np (0.609, 0.109, 0.000)
Ir (0.750, 0.250, 0.500)
Ir (0.250, 0.750, 0.500)

Computed properties:
DOS(E_F) = 27.028 states/eV per cell
DFT formation energy = 37 meV per atom
Calculated total energy = -8.244 eV/atom


No. 18
Density functional theory data (GGA-PBE) for a relaxed structure of YSiPt2.

Unit cell a=5.523 b=6.988 c=7.342 alpha=90.00 beta=90.00 gamma=90.00
Fractional positions:
Pt (0.407, 0.051, 0.319)
Pt (0.593, 0.949, 0.681)
Pt (0.907, 0.949, 0.181)
Pt (0.093, 0.449, 0.819)
Pt (0.093, 0.051, 0.819)
Pt (0.593, 0.551, 0.681)
Pt (0.907, 0.551, 0.181)
Pt (0.407, 0.449, 0.319)
Si (0.635, 0.750, 0.379)
Si (0.365, 0.250, 0.621)
Si (0.135, 0.250, 0.121)
Si (0.865, 0.750, 0.879)
Y (0.134, 0.750, 0.526)
Y (0.866, 0.250, 0.474)
Y (0.634, 0.250, 0.974)
Y (0.366, 0.750, 0.026)

Computed properties:
DOS(E_F) = 6.785 states/eV per cell
Calculated total energy = -7.167 eV/atom
Raw formation energy = -1.175 eV per atom


No. 19
Density functional theory data (GGA-PBE) for a relaxed structure of CrN.

Unit cell a=2.680 b=2.680 c=2.603 alpha=90.00 beta=90.00 gamma=120.00
Fractional positions:
Cr (0.333, 0.667, 0.000)
N (0.667, 0.333, 0.500)

Computed properties:
DOS(E_F) = 1.120 states/eV per cell
Calculated total energy = -9.508 eV/atom
Raw formation energy = -0.533 eV per atom


No. 20
Density functional theory data (GGA-PBE) for a relaxed structure of Ce2BeGe2.

Unit cell a=3.834 b=5.465 c=9.860 alpha=90.00 beta=90.00 gamma=90.00
Site moments in Bohr magnetons follow the coordinates.
Fractional positions:
Be (0.000, 0.000, 0.000)  -0.01
Be (0.000, 0.500, 0.500)  -0.01
Ce (0.000, 0.568, 0.151)  0.66
Ce (0.000, 0.932, 0.651)  0.66
Ce (0.000, 0.068, 0.349)  0.66
Ce (0.000, 0.432, 0.849)  0.66
Ge (0.500, 0.144, 0.107)  -0.02
Ge (0.500, 0.356, 0.607)  -0.02
Ge (0.500, 0.644, 0.393)  -0.02
Ge (0.500, 0.856, 0.893)  -0.02

Computed properties:
ΔE to the lowest computed polymorph = 331 meV per atom
DOS(E_F) = 20.006 states/eV per cell
DFT formation energy = -281 meV per atom
Calculated total energy = -5.247 eV/atom